# 1
## Sm12Hg5Ir2 (PBE)

Data for a relaxed Sm12Hg5Ir2 crystal.

```
Sm12Hg5Ir2
1.0
-0.285 7.949 -1.149
-7.350 -4.723 -2.740
-1.044 1.269 9.034
Sm Hg Ir
12 5 2
Cartesian
-6.561 3.549 -1.925
-5.707 -1.371 5.526
-5.845 2.473 4.970
-6.084 -1.599 1.744
-6.198 1.596 1.282
-1.299 4.989 6.728
-7.380 -0.494 -1.584
-2.596 6.094 3.400
-2.481 2.899 3.862
-2.972 5.865 -0.382
-2.834 2.022 0.174
-2.118 0.946 7.069
-4.057 0.323 3.242
-4.369 -0.322 -1.141
-0.522 0.634 4.517
-4.310 4.817 6.285
-4.622 4.172 1.902
-0.223 6.210 -0.898
-0.062 1.739 -0.251
```

Results
E (eV/atom): -4.295
Crystal system: monoclinic
Mass density (g cm⁻³): 9.17
Calculated formation energy (meV per atom): -302

---

# 2
## Tm2TeI (PBE)

Data for a relaxed Tm2TeI crystal.

```
Tm2TeI
1.0
3.914 0.000 0.000
1.957 3.389 0.000
1.957 1.130 8.552
Tm Te I
2 1 1
Cartesian
1.957 1.130 6.510
1.957 1.130 2.027
5.871 3.389 8.545
3.914 2.260 4.297
```

Results
E (eV/atom): -4.254
Crystal system: trigonal
Mass density (g cm⁻³): 8.67
Energy relative to the elements, uncorrected (eV/atom): -0.845

---

# 3
## Sc5ZnSe4 (PBE)

Data for a relaxed Sc5ZnSe4 crystal.

```
Sc5ZnSe4
1.0
-2.969 3.762 -2.664
-6.619 -1.062 0.235
-1.839 5.224 3.784
Sc Zn Se
5 1 4
Cartesian
-6.760 7.174 0.726
-7.310 3.431 1.696
-4.122 4.500 -0.346
-4.673 0.758 0.624
-1.488 1.886 -1.336
-0.004 0.005 -0.003
-5.305 5.251 2.031
-8.755 5.312 0.321
-2.677 2.620 1.029
-6.127 2.681 -0.681
```

Results
E (eV/atom): -6.030
Crystal system: tetragonal
Mass density (g cm⁻³): 4.90
Energy relative to the elements, uncorrected (eV/atom): -1.343

---

# 4
## La8Si3TeI4 (PBE)

Data for a relaxed La8Si3TeI4 crystal.

```
La8Si3TeI4
1.0
8.963 0.000 0.000
0.000 9.325 0.254
-4.481 -4.477 6.339
La Si Te I
8 3 1 4
Cartesian
-2.101 2.278 6.261
0.000 4.378 3.289
0.000 0.414 3.460
2.101 2.278 6.261
2.381 2.570 0.331
4.481 4.434 3.133
4.481 0.470 3.304
6.582 2.570 0.331
4.481 4.662 0.127
2.241 2.424 3.296
-2.241 2.424 3.296
0.000 4.662 0.127
4.481 0.000 0.000
2.241 -2.239 3.170
0.000 0.000 0.000
-2.241 -2.239 3.170
```

Results
E (eV/atom): -5.172
Crystal system: trigonal
Mass density (g cm⁻³): 5.63
Energy relative to the elements, uncorrected (eV/atom): -1.108

---

# 5
## RbCeHg17 (PBE)

Data for a relaxed RbCeHg17 crystal.

```
RbCeHg17
1.0
-1.795 5.591 6.037
6.050 -0.798 5.803
5.245 6.483 -1.180
Rb Ce Hg
1 1 17
Cartesian
6.103 7.243 6.847
3.070 3.644 3.445
3.143 6.218 1.061
0.633 3.692 5.969
5.804 1.461 3.720
3.699 1.195 5.878
5.489 4.307 0.991
0.392 5.869 3.881
6.716 3.471 6.980
6.262 7.578 3.042
2.292 7.075 7.112
3.409 6.897 4.178
3.697 4.296 6.673
6.212 4.614 4.094
6.711 10.910 7.894
7.009 8.223 10.471
9.607 8.552 7.808
8.944 10.615 10.035
1.058 1.256 1.187
```

Results
E (eV/atom): -0.724
Crystal system: trigonal
Mass density (g cm⁻³): 11.22
Calculated formation energy (meV per atom): -91

---

# 6
## HoErMgZn (PBE)

Data for a relaxed HoErMgZn crystal.

```
HoErMgZn
1.0
5.161 0.000 0.000
2.580 4.469 0.000
2.580 1.490 4.214
Mg Zn Ho Er
1 1 1 1
Cartesian
0.000 0.000 0.000
5.161 2.980 2.107
2.580 1.490 1.053
7.741 4.469 3.160
```

Results
E (eV/atom): -3.177
Crystal system: cubic
Mass density (g cm⁻³): 7.21
Calculated formation energy (meV per atom): -174

---

# 7
## Rb2SrRuO6 (PBE)

Data for a relaxed Rb2SrRuO6 crystal.

```
Rb2SrRuO6
1.0
6.190 0.000 0.000
0.000 6.393 0.000
0.000 -3.197 5.537
Rb Sr Ru O
2 1 1 6
Cartesian
0.710 0.000 3.691
5.480 3.197 1.846
3.095 0.000 0.000
0.000 0.000 0.000
5.066 0.000 1.523
5.066 -1.877 4.775
5.066 1.877 4.775
1.124 5.074 0.762
1.124 1.319 0.762
1.124 3.197 4.014
```

Results
E (eV/atom): -5.584
Crystal system: trigonal
Mass density (g cm⁻³): 3.45
Energy relative to the elements, uncorrected (eV/atom): -1.319

---

# 8
## Tl3SnB (PBE)

Data for a relaxed Tl3SnB crystal.

```
Tl3SnB
1.0
5.058 0.000 0.000
0.000 5.058 0.000
0.000 0.000 5.058
Tl B Sn
3 1 1
Cartesian
0.000 2.529 0.000
0.000 0.000 2.529
2.529 0.000 0.000
0.000 0.000 0.000
2.529 2.529 2.529
```

Results
E (eV/atom): -2.905
Crystal system: cubic
Mass density (g cm⁻³): 9.53
Calculated formation energy (meV per atom): 651